## GaFeCu2Rh (GGA-PBE)

Data for crystalline GaFeCu2Rh at its relaxed geometry.

Output
V   17.39 A^3/atom
Raw total energy   -22.7 eV per cell
Total magnetization   3.541 μB per cell

a = 4.3539 Å, b = 4.5877 Å, c = 4.3539 Å
α = 90.00°, β = 90.00°, γ = 90.00°
Closest atoms and distances in Å follow each position.
Positions (direct):
Ga: 0.0000 0.0000 0.0000  4 Cu 2.18, 2 Rh 2.29
Fe: 0.5000 0.5000 0.5000  4 Rh 3.08, 8 Cu 3.16
Cu: 0.5000 0.0000 0.0000  2 Ga 2.18
Cu: 0.0000 0.0000 0.5000  2 Ga 2.18
Rh: 0.0000 0.5000 0.0000  2 Ga 2.29

***

## CuP3Pb (GGA-PBE)

Data for crystalline CuP3Pb at its relaxed geometry.

Output
V   20.08 A^3/atom
Energy above the most stable polymorph in this dataset   0.000 eV per atom
Total magnetization   0.000 μB per cell

a = 4.6475 Å, b = 4.6475 Å, c = 4.6475 Å
α = 90.00°, β = 90.00°, γ = 90.00°
Closest atoms and distances in Å follow each position.
Positions (direct):
P: 0.0000 0.5000 0.0000  2 Cu 2.32
P: 0.0000 0.0000 0.5000  2 Cu 2.32
P: 0.5000 0.0000 0.0000  2 Cu 2.32
Pb: 0.5000 0.5000 0.5000  12 P 3.29
Cu: 0.0000 0.0000 0.0000  6 P 2.32

***

## SmAl3Pd2 (GGA-PBE)

Data for crystalline SmAl3Pd2 at its relaxed geometry.

Output
V   18.58 A^3/atom
Energy above the most stable polymorph in this dataset   0.070 eV per atom
Total magnetization   0.000 μB per cell

a = 5.4890 Å, b = 6.4323 Å, c = 6.4323 Å
α = 101.00°, β = 90.00°, γ = 90.00°
Closest atoms and distances in Å follow each position.
Positions (direct):
Al: 0.7500 0.0453 0.0453  4 Pd 2.56, 4 Al 2.61-2.84
Al: 0.2500 0.8987 0.5416  4 Pd 2.50-2.69, 1 Al 2.61
Al: 0.7500 0.1013 0.4584  4 Pd 2.50-2.69, 1 Al 2.61
Al: 0.2500 0.5416 0.8987  4 Pd 2.50-2.69, 1 Al 2.61
Al: 0.7500 0.4584 0.1013  4 Pd 2.50-2.69, 1 Al 2.61
Al: 0.2500 0.9547 0.9547  4 Pd 2.56, 4 Al 2.61-2.84
Sm: 0.7500 0.6574 0.6574  7 Al 3.17-3.34, 4 Pd 3.41
Sm: 0.2500 0.3426 0.3426  7 Al 3.17-3.34, 4 Pd 3.41
Pd: 0.5000 0.2139 0.7861  6 Al 2.50-2.69, 2 Pd 2.74
Pd: 0.0000 0.2139 0.7861  6 Al 2.50-2.69, 2 Pd 2.74
Pd: 0.0000 0.7861 0.2139  6 Al 2.50-2.69, 2 Pd 2.74
Pd: 0.5000 0.7861 0.2139  6 Al 2.50-2.69, 2 Pd 2.74

***

## AlCr2 (GGA-PBE)

Data for crystalline AlCr2 at its relaxed geometry.

Output
V   12.72 A^3/atom
Raw total energy   -46.3 eV per cell
Total magnetization   1.332 μB per cell

a = 4.8895 Å, b = 4.8895 Å, c = 5.9362 Å
α = 71.32°, β = 71.32°, γ = 34.82°
Closest atoms and distances in Å follow each position.
Positions (direct):
Cr: 0.0335 0.0335 0.4242  6 Cr 2.41-2.51, 2 Al 2.59
Cr: 0.6899 0.6899 0.5941  4 Cr 2.41-2.50, 4 Al 2.58-2.61
Cr: 0.6990 0.6990 0.1281  4 Cr 2.41-2.50, 4 Al 2.58-2.61
Cr: 0.3554 0.3554 0.2980  6 Cr 2.41-2.51, 2 Al 2.59
Al: 0.3572 0.3572 0.7648  7 Cr 2.58-2.78, 3 Al 2.71-2.86
Al: 0.0317 0.0317 0.9574  7 Cr 2.58-2.78, 3 Al 2.71-2.86

***

## TbCeHoSn (GGA-PBE)

Data for crystalline TbCeHoSn at its relaxed geometry.

Output
V   27.44 A^3/atom
Raw total energy   -19.9 eV per cell
Total magnetization   0.857 μB per cell

a = 5.3745 Å, b = 5.3745 Å, c = 5.3745 Å
α = 60.00°, β = 60.00°, γ = 60.00°
Closest atoms and distances in Å follow each position.
Positions (direct):
Tb: 0.5000 0.5000 0.5000  4 Ce 3.29, 4 Sn 3.29
Ho: 0.0000 0.0000 0.0000  4 Sn 3.29, 4 Ce 3.29
Sn: 0.7500 0.7500 0.7500  4 Tb 3.29, 4 Ho 3.29
Ce: 0.2500 0.2500 0.2500  4 Ho 3.29, 4 Tb 3.29

***

## YThTe6 (GGA-PBE)

Data for crystalline YThTe6 at its relaxed geometry.

Output
V   32.66 A^3/atom
E_form (uncorrected)   -946 meV per atom
Total magnetization   0.000 μB per cell

a = 4.4333 Å, b = 4.4349 Å, c = 13.4735 Å
α = 90.00°, β = 99.47°, γ = 90.00°
Closest atoms and distances in Å follow each position.
Positions (direct):
Te: 0.7079 0.0000 0.4157  1 Y 3.27, 4 Th 3.29
Te: 0.2927 0.5000 0.5854  1 Th 3.25, 4 Y 3.30
Te: 0.5790 0.5000 0.1580  4 Te 3.14, 2 Th 3.29
Te: 0.0790 0.0000 0.1580  4 Te 3.14, 2 Th 3.29
Te: 0.9201 0.5000 0.8402  4 Te 3.14, 2 Y 3.24
Te: 0.4200 0.0000 0.8400  4 Te 3.14, 2 Y 3.24
Y: 0.8311 0.0000 0.6621  9 Te 3.24-3.30
Th: 0.1702 0.5000 0.3405  9 Te 3.25-3.29

***

## Tl3Cd6In5 (GGA-PBE)

Data for crystalline Tl3Cd6In5 at its relaxed geometry.

Output
V   27.43 A^3/atom
Raw total energy   -51.4 eV per cell
Total magnetization   0.000 μB per cell

a = 4.7909 Å, b = 11.0200 Å, c = 14.5456 Å
α = 90.00°, β = 90.00°, γ = 90.00°
Closest atoms and distances in Å follow each position.
Positions (direct):
Cd: 0.0000 0.5614 0.5000  2 Cd 2.88, 4 In 3.13
Cd: 0.5000 0.4332 0.8020  3 Cd 2.88-3.19, 4 In 2.90-3.11
Cd: 0.0000 0.5668 0.6980  3 Cd 2.88-3.19, 4 In 2.90-3.11
Cd: 0.0000 0.5668 0.3020  3 Cd 2.88-3.19, 4 In 2.90-3.11
Cd: 0.5000 0.4386 0.0000  2 Cd 2.88, 4 In 3.13
Cd: 0.0000 0.0198 0.5000  4 In 3.03-3.10
Cd: 0.5000 0.0028 0.3357  4 In 3.05-3.16, 2 Cd 3.39
Cd: 0.5000 0.0028 0.6643  4 In 3.05-3.16, 2 Cd 3.39
Cd: 0.0000 0.9972 0.8357  4 In 3.05-3.16, 2 Cd 3.39
Cd: 0.5000 0.4332 0.1980  3 Cd 2.88-3.19, 4 In 2.90-3.11
Cd: 0.0000 0.9972 0.1643  4 In 3.05-3.16, 2 Cd 3.39
Cd: 0.5000 0.9802 0.0000  4 In 3.03-3.10
In: 0.0000 0.8126 0.0000  4 Cd 3.03-3.14, 2 In 3.14
In: 0.5000 0.1679 0.1585  5 Cd 2.98-3.16
In: 0.5000 0.1679 0.8415  5 Cd 2.98-3.16
In: 0.0000 0.8321 0.6585  5 Cd 2.98-3.16
In: 0.5000 0.1874 0.5000  4 Cd 3.03-3.14, 2 In 3.14
In: 0.5000 0.4378 0.3974  5 Cd 2.90-3.13, 2 In 2.98-3.14
In: 0.0000 0.5622 0.8974  5 Cd 2.90-3.13, 2 In 2.98-3.14
In: 0.5000 0.4378 0.6026  5 Cd 2.90-3.13, 2 In 2.98-3.14
In: 0.0000 0.8321 0.3415  5 Cd 2.98-3.16
In: 0.0000 0.5622 0.1026  5 Cd 2.90-3.13, 2 In 2.98-3.14
Tl: 0.5000 0.7685 0.5000  6 Cd 3.31-3.66, 4 In 3.40
Tl: 0.5000 0.7651 0.1786  6 In 3.45-3.57, 7 Cd 3.48-3.71
Tl: 0.5000 0.7651 0.8214  6 In 3.45-3.57, 7 Cd 3.48-3.71
Tl: 0.0000 0.2349 0.3214  6 In 3.45-3.57, 7 Cd 3.48-3.71
Tl: 0.0000 0.2349 0.6786  6 In 3.45-3.57, 7 Cd 3.48-3.71
Tl: 0.0000 0.2315 0.0000  6 Cd 3.31-3.66, 4 In 3.40

***

## ZrAl2PbI (GGA-PBE)

Data for crystalline ZrAl2PbI at its relaxed geometry.

Output
V   34.71 A^3/atom
E_form (uncorrected)   1179 meV per atom
Total magnetization   2.995 μB per cell

a = 5.3464 Å, b = 6.0720 Å, c = 5.3464 Å
α = 90.00°, β = 90.00°, γ = 90.00°
Closest atoms and distances in Å follow each position.
Positions (direct):
Zr: 0.5000 0.5000 0.5000  4 I 3.78, 8 Al 4.05
Al: 0.0000 0.0000 0.5000  2 Pb 2.67
Al: 0.5000 0.0000 0.0000  2 Pb 2.67
I: 0.0000 0.5000 0.0000  2 Pb 3.04
Pb: 0.0000 0.0000 0.0000  4 Al 2.67

***

## AlCdCuHg2 (GGA-PBE)

Data for crystalline AlCdCuHg2 at its relaxed geometry.

Output
V   28.65 A^3/atom
Raw total energy   -6.5 eV per cell
Total magnetization   0.000 μB per cell

a = 5.2246 Å, b = 5.2476 Å, c = 5.2246 Å
α = 90.00°, β = 90.00°, γ = 90.00°
Closest atoms and distances in Å follow each position.
Positions (direct):
Cu: 0.5000 0.5000 0.5000  4 Cd 3.69, 8 Hg 3.70
Hg: 0.0000 0.0000 0.5000  2 Al 2.61
Hg: 0.5000 0.0000 0.0000  2 Al 2.61
Cd: 0.0000 0.5000 0.0000  2 Al 2.62
Al: 0.0000 0.0000 0.0000  4 Hg 2.61, 2 Cd 2.62

***

## BiPdSe2N (GGA-PBE)

Data for crystalline BiPdSe2N at its relaxed geometry.

Output
V   26.40 A^3/atom
Energy above the most stable polymorph in this dataset   0.791 eV per atom
E_form (uncorrected)   1281 meV per atom
Total magnetization   2.702 μB per cell

a = 5.5127 Å, b = 5.5127 Å, c = 4.3442 Å
α = 90.00°, β = 90.00°, γ = 90.00°
Closest atoms and distances in Å follow each position.
Positions (direct):
Se: 0.0000 0.5000 0.0000  2 Bi 2.76
Se: 0.5000 0.0000 0.0000  2 Bi 2.76
Bi: 0.0000 0.0000 0.0000  2 N 2.17
N: 0.0000 0.0000 0.5000  2 Bi 2.17
Pd: 0.5000 0.5000 0.5000  8 Se 3.51, 4 N 3.90

***

## TbEu2Au (GGA-PBE)

Data for crystalline TbEu2Au at its relaxed geometry.

Output
V   31.59 A^3/atom
Energy above the most stable polymorph in this dataset   0.000 eV per atom
Total magnetization   15.039 μB per cell

a = 3.7506 Å, b = 3.7506 Å, c = 8.9818 Å
α = 90.00°, β = 90.00°, γ = 90.00°
Closest atoms and distances in Å follow each position.
Positions (direct):
Tb: 0.5000 0.5000 0.5000  4 Tb 3.75, 8 Eu 3.78
Eu: 0.0000 0.0000 0.7992  4 Au 3.21
Eu: 0.0000 0.0000 0.2008  4 Au 3.21
Au: 0.5000 0.5000 0.0000  8 Eu 3.21

***

## Y2Cl3 (GGA-PBE)

Data for crystalline Y2Cl3 at its relaxed geometry.

Output
V   25.47 A^3/atom
E_form (uncorrected)   -1507 meV per atom
Total magnetization   3.043 μB per cell

a = 6.2558 Å, b = 6.2558 Å, c = 8.3388 Å
α = 67.97°, β = 67.97°, γ = 60.00°
Closest atoms and distances in Å follow each position.
Positions (direct):
Cl: 0.2500 0.5790 0.2500  4 Y 2.78-2.82
Cl: 0.5790 0.9210 0.2500  4 Y 2.78-2.82
Cl: 0.0790 0.7500 0.7500  4 Y 2.78-2.82
Cl: 0.4210 0.0790 0.7500  4 Y 2.78-2.82
Cl: 0.7500 0.4210 0.7500  4 Y 2.78-2.82
Cl: 0.9210 0.2500 0.2500  4 Y 2.78-2.82
Y: 0.8329 0.8329 0.5014  6 Cl 2.78-2.82
Y: 0.6671 0.6671 0.9986  6 Cl 2.78-2.82
Y: 0.1671 0.1671 0.4986  6 Cl 2.78-2.82
Y: 0.3329 0.3329 0.0014  6 Cl 2.78-2.82